Entry 1:
{
  "formula": "SmScCu",
  "functional": "GGA-PBE",
  "state": "optimized geometry",
  "e_above_lowest_polymorph_mev_per_atom": 0.0,
  "crystal_system": "tetragonal",
  "volume_a3_per_cell": 141,
  "total_magnetization_mub_per_atom": 0.000,
  "formation_enthalpy_0k_ev_per_atom": -0.15,
  "dos_ef_per_ev_fu": 3.25,
  "lattice": [[4.5165, -0.5435, -0.0013], [0.5437, 4.5192, -0.0014], [0.0020, 0.0019, 6.7859]],
  "species": ["Cu", "Sm", "Sc", "Sm", "Sc", "Cu"],
  "frac_coords": [[0.9804, 0.9926, 0.0938], [0.9807, 0.9931, 0.4983], [0.4805, 0.9929, 0.8787], [0.4807, 0.4932, 0.2591], [0.9806, 0.4929, 0.8787], [0.4803, 0.4926, 0.6642]]
}

---

Entry 2:
{
  "formula": "SmScCu",
  "functional": "GGA-PBE",
  "state": "optimized geometry",
  "e_above_lowest_polymorph_mev_per_atom": 48.5,
  "crystal_system": "tetragonal",
  "volume_a3_per_cell": 69,
  "total_magnetization_mub_per_atom": 0.000,
  "formation_enthalpy_0k_ev_per_atom": -0.11,
  "dos_ef_per_ev_fu": 3.85,
  "lattice": [[3.3925, 0.0000, 0.0000], [0.0000, 3.3925, 0.0000], [-1.6962, -1.6962, 5.9976]],
  "species": ["Sm", "Cu", "Sc"],
  "frac_coords": [[0.0167, 0.0167, 0.0334], [0.6852, 0.6852, 0.3703], [0.2981, 0.2981, 0.5963]]
}

---

Entry 3:
{
  "formula": "SmSc2Cu9",
  "functional": "GGA-PBE",
  "state": "optimized geometry",
  "crystal_system": "trigonal",
  "volume_a3_per_cell": 183,
  "total_magnetization_mub_per_atom": 0.000,
  "formation_enthalpy_0k_ev_per_atom": -0.21,
  "dos_ef_per_ev_fu": 9.66,
  "lattice": [[5.1147, 0.0000, 0.0000], [2.5574, 4.4295, 0.0000], [2.5574, 1.4765, 8.0831]],
  "species": ["Sc", "Cu", "Sc", "Cu", "Sm", "Cu", "Cu", "Cu", "Cu", "Cu", "Cu", "Cu"],
  "frac_coords": [[0.8543, 0.8543, 0.4370], [0.5861, 0.0825, 0.7453], [0.1457, 0.1457, 0.5630], [0.5861, 0.5861, 0.7453], [0.0000, 0.0000, 0.0000], [0.4139, 0.9175, 0.2547], [0.6671, 0.6671, 0.9986], [0.4139, 0.4139, 0.2547], [0.3329, 0.3329, 0.0014], [0.5000, 0.5000, 0.5000], [0.0825, 0.5861, 0.7453], [0.9175, 0.4139, 0.2547]]
}

---

Entry 4:
{
  "formula": "SmScCu2",
  "functional": "GGA-PBE",
  "state": "optimized geometry",
  "e_above_lowest_polymorph_mev_per_atom": 19.8,
  "crystal_system": "trigonal",
  "volume_a3_per_cell": 82,
  "total_magnetization_mub_per_atom": 0.000,
  "formation_enthalpy_0k_ev_per_atom": -0.20,
  "dos_ef_per_ev_fu": 2.18,
  "lattice": [[-2.9296, -2.2526, -2.7907], [-0.5351, -4.5809, 0.4171], [-4.4044, -1.6349, 2.1010]],
  "species": ["Cu", "Cu", "Sm", "Sc"],
  "frac_coords": [[0.7826, 0.7826, 0.6521], [0.2174, 0.2174, 0.3479], [0.0000, 0.0000, 0.0000], [0.5000, 0.5000, 0.5000]]
}

---

Entry 5:
{
  "formula": "SmScCu",
  "functional": "GGA-PBE",
  "state": "optimized geometry",
  "e_above_lowest_polymorph_mev_per_atom": 175.7,
  "crystal_system": "hexagonal",
  "volume_a3_per_cell": 71,
  "total_magnetization_mub_per_atom": 0.000,
  "formation_enthalpy_0k_ev_per_atom": 0.02,
  "dos_ef_per_ev_fu": 3.89,
  "lattice": [[-0.5374, 3.3484, 1.8428], [-1.9838, -2.2465, 3.5033], [4.5529, 0.7254, 0.0098]],
  "species": ["Sc", "Sm", "Cu"],
  "frac_coords": [[0.1669, 0.3333, 0.6667], [0.6668, 0.6667, 0.3333], [0.1663, 0.0000, 0.0000]]
}

---

Entry 6:
{
  "formula": "SmScCu3",
  "functional": "GGA-PBE",
  "state": "optimized geometry",
  "crystal_system": "orthorhombic",
  "volume_a3_per_cell": 188,
  "total_magnetization_mub_per_atom": 0.000,
  "formation_enthalpy_0k_ev_per_atom": -0.22,
  "dos_ef_per_ev_fu": 4.33,
  "lattice": [[3.4899, 0.0000, -0.4805], [0.0000, 4.2612, 0.0000], [-0.0404, 0.0000, 12.6206]],
  "species": ["Cu", "Cu", "Sc", "Sm", "Cu", "Cu", "Cu", "Cu", "Sc", "Sm"],
  "frac_coords": [[0.5252, 0.7500, 0.0503], [0.3201, 0.7500, 0.6402], [0.2087, 0.7500, 0.4175], [0.9242, 0.7500, 0.8485], [0.4748, 0.2500, 0.9497], [0.6799, 0.2500, 0.3598], [0.3751, 0.2500, 0.7503], [0.6249, 0.7500, 0.2497], [0.7913, 0.2500, 0.5825], [0.0758, 0.2500, 0.1515]]
}